#one
Ca2Ac7Ru2 | PBE-GGA | relaxed

Calculated values
**Fermi-level density of states**: 1.13 states/eV/atom
**Spin magnetization**: 0.00 μB/cell

```
data_Ca2Ac7Ru2
_chemical_formula_sum 'Ca4 Ac14 Ru4'
_cell_length_a 4.0075
_cell_length_b 19.4049
_cell_length_c 10.9237
_cell_angle_alpha 90.00
_cell_angle_beta 90.00
_cell_angle_gamma 90.00
_symmetry_space_group_name_H-M 'I m m 2'
_symmetry_Int_Tables_number 44
loop_
_symmetry_equiv_pos_as_xyz
'x,y,z'
'-x,-y,z'
'-x,y,z'
'x,-y,z'
'x+1/2,y+1/2,z+1/2'
'-x+1/2,-y+1/2,z+1/2'
'-x+1/2,y+1/2,z+1/2'
'x+1/2,-y+1/2,z+1/2'
loop_
_atom_site_label
_atom_site_type_symbol
_atom_site_fract_x
_atom_site_fract_y
_atom_site_fract_z
_atom_site_occupancy
Ca1 Ca 0.0000 0.0000 0.0000 1
Ca2 Ca 0.0000 0.5000 0.1815 1
Ac1 Ac 0.0000 0.1595 0.5339 1
Ac2 Ac 0.0000 0.1713 0.1828 1
Ac3 Ac 0.0000 0.3365 0.3667 1
Ac4 Ac 0.0000 0.5000 0.8256 1
Ru1 Ru 0.0000 0.2742 0.8643 1
```

=====

#two
Ca2Ac7Ru2 | PBE-GGA | relaxed

Calculated values
**Fermi-level density of states**: 1.29 states/eV/atom
**Spin magnetization**: 0.00 μB/cell

```
data_Ca2Ac7Ru2
_chemical_formula_sum 'Ca4 Ac14 Ru4'
_cell_length_a 13.4060
_cell_length_b 8.8443
_cell_length_c 7.9349
_cell_angle_alpha 90.00
_cell_angle_beta 98.81
_cell_angle_gamma 90.00
_symmetry_space_group_name_H-M 'C 1 2/m 1'
_symmetry_Int_Tables_number 12
loop_
_symmetry_equiv_pos_as_xyz
'x,y,z'
'-x,-y,-z'
'-x,y,-z'
'x,-y,z'
'x+1/2,y+1/2,z'
'-x+1/2,-y+1/2,-z'
'-x+1/2,y+1/2,-z'
'x+1/2,-y+1/2,z'
loop_
_atom_site_label
_atom_site_type_symbol
_atom_site_fract_x
_atom_site_fract_y
_atom_site_fract_z
_atom_site_occupancy
Ca1 Ca 0.0000 0.1932 0.0000 1
Ac1 Ac 0.0000 0.0000 0.5000 1
Ac2 Ac 0.0644 0.5000 0.3158 1
Ac3 Ac 0.2191 0.2735 0.7301 1
Ru1 Ru 0.2329 0.0000 0.5221 1
```

=====

The data favor #one; the next most stable structure lies 129 meV/atom above it.

=====

#one
Ca2AcSb | PBE-GGA | relaxed

Calculated values
**Fermi-level density of states**: 1.21 states/eV/atom
**Spin magnetization**: 0.00 μB/cell

```
data_Ca2AcSb
_chemical_formula_sum 'Ca6 Ac3 Sb3'
_cell_length_a 5.7833
_cell_length_b 5.7833
_cell_length_c 14.1994
_cell_angle_alpha 90.00
_cell_angle_beta 90.00
_cell_angle_gamma 120.00
_symmetry_space_group_name_H-M 'R -3 m'
_symmetry_Int_Tables_number 166
_symmetry_space_group_name_Hall '-R 3 2"'
loop_
_atom_site_label
_atom_site_type_symbol
_atom_site_fract_x
_atom_site_fract_y
_atom_site_fract_z
_atom_site_occupancy
Ca1 Ca 0.0000 0.0000 0.2504 1
Ac1 Ac 0.0000 0.0000 0.5000 1
Sb1 Sb 0.0000 0.0000 0.0000 1
```

=====

#two
Ca2AcSb | PBE-GGA | relaxed

Calculated values
**Fermi-level density of states**: 0.48 states/eV/atom
**Spin magnetization**: 0.00 μB/cell

```
data_Ca2AcSb
_chemical_formula_sum 'Ca6 Ac3 Sb3'
_cell_length_a 5.2821
_cell_length_b 5.2821
_cell_length_c 18.4758
_cell_angle_alpha 90.00
_cell_angle_beta 90.00
_cell_angle_gamma 120.00
_symmetry_space_group_name_H-M 'R 3 m'
_symmetry_Int_Tables_number 160
_symmetry_space_group_name_Hall 'R 3 -2"'
loop_
_atom_site_label
_atom_site_type_symbol
_atom_site_fract_x
_atom_site_fract_y
_atom_site_fract_z
_atom_site_occupancy
Ca1 Ca 0.0000 0.0000 0.0000 1
Ca2 Ca 0.0000 0.0000 0.2323 1
Ac1 Ac 0.0000 0.0000 0.4508 1
Sb1 Sb 0.0000 0.0000 0.6494 1
```

=====

The data favor #two; the next most stable structure lies 204 meV/atom above it.

=====

#one
Ca2AcSb | PBE-GGA | relaxed

Calculated values
**Fermi-level density of states**: 1.02 states/eV/atom
**Spin magnetization**: 0.00 μB/cell

```
data_Ca2AcSb
_chemical_formula_sum 'Ca2 Ac1 Sb1'
_cell_length_a 4.2790
_cell_length_b 4.2790
_cell_length_c 7.5337
_cell_angle_alpha 90.00
_cell_angle_beta 90.00
_cell_angle_gamma 90.00
_symmetry_space_group_name_H-M 'P 4/m m m'
_symmetry_Int_Tables_number 123
_symmetry_space_group_name_Hall '-P 4 2'
loop_
_atom_site_label
_atom_site_type_symbol
_atom_site_fract_x
_atom_site_fract_y
_atom_site_fract_z
_atom_site_occupancy
Ca1 Ca 0.0000 0.0000 0.2050 1
Ac1 Ac 0.5000 0.5000 0.5000 1
Sb1 Sb 0.5000 0.5000 0.0000 1
```

=====

#two
Ca2AcSb | PBE-GGA | relaxed

Calculated values
**Fermi-level density of states**: 0.94 states/eV/atom
**Spin magnetization**: 0.00 μB/cell

```
data_Ca2AcSb
_chemical_formula_sum 'Ca2 Ac1 Sb1'
_cell_length_a 5.0268
_cell_length_b 5.0268
_cell_length_c 5.4514
_cell_angle_alpha 90.00
_cell_angle_beta 90.00
_cell_angle_gamma 90.00
_symmetry_space_group_name_H-M 'P 4/m m m'
_symmetry_Int_Tables_number 123
_symmetry_space_group_name_Hall '-P 4 2'
loop_
_atom_site_label
_atom_site_type_symbol
_atom_site_fract_x
_atom_site_fract_y
_atom_site_fract_z
_atom_site_occupancy
Ca1 Ca 0.0000 0.5000 0.0000 1
Ac1 Ac 0.0000 0.0000 0.5000 1
Sb1 Sb 0.5000 0.5000 0.5000 1
```

=====

The data favor #two; the next most stable structure lies 28 meV/atom above it.

=====

#one
CaAcSb2 | PBE-GGA | relaxed

Calculated values
**Fermi-level density of states**: 1.21 states/eV/atom
**Spin magnetization**: 0.00 μB/cell

```
data_CaAcSb2
_chemical_formula_sum 'Ca1 Ac1 Sb2'
_cell_length_a 4.6444
_cell_length_b 4.7805
_cell_length_c 6.6026
_cell_angle_alpha 90.00
_cell_angle_beta 90.00
_cell_angle_gamma 90.00
_symmetry_space_group_name_H-M 'P m m m'
_symmetry_Int_Tables_number 47
loop_
_symmetry_equiv_pos_as_xyz
'x,y,z'
'-x,-y,-z'
'-x,-y,z'
'x,y,-z'
'x,-y,-z'
'-x,y,z'
'-x,y,-z'
'x,-y,z'
loop_
_atom_site_label
_atom_site_type_symbol
_atom_site_fract_x
_atom_site_fract_y
_atom_site_fract_z
_atom_site_occupancy
Ca1 Ca 0.0000 0.0000 0.0000 1
Ac1 Ac 0.5000 0.5000 0.5000 1
Sb1 Sb 0.0000 0.0000 0.5000 1
Sb2 Sb 0.5000 0.5000 0.0000 1
```

=====

#two
CaAcSb2 | PBE-GGA | relaxed

Calculated values
**Fermi-level density of states**: 0.63 states/eV/atom
**Spin magnetization**: 0.00 μB/cell

```
data_CaAcSb2
_chemical_formula_sum 'Ca1 Ac1 Sb2'
_cell_length_a 5.5211
_cell_length_b 5.5211
_cell_length_c 4.2317
_cell_angle_alpha 90.00
_cell_angle_beta 90.00
_cell_angle_gamma 90.00
_symmetry_space_group_name_H-M 'P 4/m m m'
_symmetry_Int_Tables_number 123
_symmetry_space_group_name_Hall '-P 4 2'
loop_
_atom_site_label
_atom_site_type_symbol
_atom_site_fract_x
_atom_site_fract_y
_atom_site_fract_z
_atom_site_occupancy
Ca1 Ca 0.0000 0.0000 0.0000 1
Ac1 Ac 0.5000 0.5000 0.0000 1
Sb1 Sb 0.0000 0.5000 0.5000 1
```

=====

The data favor #one; the next most stable structure lies 51 meV/atom above it.

=====

#one
CaAcSb2 | PBE-GGA | relaxed

Calculated values
**Fermi-level density of states**: 0.90 states/eV/atom
**Spin magnetization**: 0.00 μB/cell

```
data_CaAcSb2
_chemical_formula_sum 'Ca4 Ac4 Sb8'
_cell_length_a 8.0177
_cell_length_b 8.0177
_cell_length_c 8.0177
_cell_angle_alpha 90.00
_cell_angle_beta 90.00
_cell_angle_gamma 90.00
_symmetry_space_group_name_H-M 'F m -3 m'
_symmetry_Int_Tables_number 225
_symmetry_space_group_name_Hall '-F 4 2 3'
loop_
_atom_site_label
_atom_site_type_symbol
_atom_site_fract_x
_atom_site_fract_y
_atom_site_fract_z
_atom_site_occupancy
Ca1 Ca 0.0000 0.0000 0.0000 1
Ac1 Ac 0.0000 0.0000 0.5000 1
Sb1 Sb 0.2500 0.2500 0.2500 1
```

=====

#two
CaAcSb2 | PBE-GGA | relaxed

Calculated values
**Fermi-level density of states**: 0.96 states/eV/atom
**Spin magnetization**: 0.00 μB/cell

```
data_CaAcSb2
_chemical_formula_sum 'Ca3 Ac3 Sb6'
_cell_length_a 4.8448
_cell_length_b 4.8448
_cell_length_c 21.2043
_cell_angle_alpha 90.00
_cell_angle_beta 90.00
_cell_angle_gamma 120.00
_symmetry_space_group_name_H-M 'R -3 m'
_symmetry_Int_Tables_number 166
_symmetry_space_group_name_Hall '-R 3 2"'
loop_
_atom_site_label
_atom_site_type_symbol
_atom_site_fract_x
_atom_site_fract_y
_atom_site_fract_z
_atom_site_occupancy
Ca1 Ca 0.0000 0.0000 0.0000 1
Ac1 Ac 0.0000 0.0000 0.5000 1
Sb1 Sb 0.0000 0.0000 0.2548 1
```

=====

#three
CaAcSb2 | PBE-GGA | relaxed

Calculated values
**Fermi-level density of states**: 0.57 states/eV/atom
**Spin magnetization**: 0.00 μB/cell

```
data_CaAcSb2
_chemical_formula_sum 'Ca3 Ac3 Sb6'
_cell_length_a 4.8163
_cell_length_b 4.8163
_cell_length_c 21.8203
_cell_angle_alpha 90.00
_cell_angle_beta 90.00
_cell_angle_gamma 120.00
_symmetry_space_group_name_H-M 'R 3 m'
_symmetry_Int_Tables_number 160
_symmetry_space_group_name_Hall 'R 3 -2"'
loop_
_atom_site_label
_atom_site_type_symbol
_atom_site_fract_x
_atom_site_fract_y
_atom_site_fract_z
_atom_site_occupancy
Ca1 Ca 0.0000 0.0000 0.0000 1
Ac1 Ac 0.0000 0.0000 0.1736 1
Sb1 Sb 0.0000 0.0000 0.5948 1
Sb2 Sb 0.0000 0.0000 0.7487 1
```

=====

The data favor #two; the next most stable structure lies 18 meV/atom above it.

=====

#one
CaAc2Sc | PBE-GGA | relaxed

Calculated values
**Fermi-level density of states**: 1.74 states/eV/atom
**Spin magnetization**: 0.00 μB/cell

```
data_CaAc2Sc
_chemical_formula_sum 'Ca3 Ac6 Sc3'
_cell_length_a 3.6871
_cell_length_b 3.6871
_cell_length_c 39.6821
_cell_angle_alpha 90.00
_cell_angle_beta 90.00
_cell_angle_gamma 120.00
_symmetry_space_group_name_H-M 'R -3 m'
_symmetry_Int_Tables_number 166
_symmetry_space_group_name_Hall '-R 3 2"'
loop_
_atom_site_label
_atom_site_type_symbol
_atom_site_fract_x
_atom_site_fract_y
_atom_site_fract_z
_atom_site_occupancy
Ca1 Ca 0.0000 0.0000 0.0000 1
Ac1 Ac 0.0000 0.0000 0.4181 1
Sc1 Sc 0.0000 0.0000 0.5000 1
```

=====

#two
CaAc2Sc | PBE-GGA | relaxed

Calculated values
**Fermi-level density of states**: 1.39 states/eV/atom
**Spin magnetization**: 0.00 μB/cell

```
data_CaAc2Sc
_chemical_formula_sum 'Ca1 Ac2 Sc1'
_cell_length_a 6.0109
_cell_length_b 6.0109
_cell_length_c 4.2025
_cell_angle_alpha 90.00
_cell_angle_beta 90.00
_cell_angle_gamma 90.00
_symmetry_space_group_name_H-M 'P 4/m m m'
_symmetry_Int_Tables_number 123
_symmetry_space_group_name_Hall '-P 4 2'
loop_
_atom_site_label
_atom_site_type_symbol
_atom_site_fract_x
_atom_site_fract_y
_atom_site_fract_z
_atom_site_occupancy
Ca1 Ca 0.0000 0.0000 0.0000 1
Ac1 Ac 0.0000 0.5000 0.5000 1
Sc1 Sc 0.5000 0.5000 0.0000 1
```

=====

The data favor #two; the next most stable structure lies 236 meV/atom above it.

=====

#one
CaAc2Sc | PBE-GGA | relaxed

Calculated values
**Fermi-level density of states**: 1.30 states/eV/atom
**Spin magnetization**: 0.00 μB/cell

```
data_CaAc2Sc
_chemical_formula_sum 'Ca1 Ac2 Sc1'
_cell_length_a 4.0666
_cell_length_b 4.0666
_cell_length_c 9.4410
_cell_angle_alpha 90.00
_cell_angle_beta 90.00
_cell_angle_gamma 90.00
_symmetry_space_group_name_H-M 'P 4/m m m'
_symmetry_Int_Tables_number 123
_symmetry_space_group_name_Hall '-P 4 2'
loop_
_atom_site_label
_atom_site_type_symbol
_atom_site_fract_x
_atom_site_fract_y
_atom_site_fract_z
_atom_site_occupancy
Ca1 Ca 0.0000 0.0000 0.0000 1
Ac1 Ac 0.5000 0.5000 0.2819 1
Sc1 Sc 0.0000 0.0000 0.5000 1
```

=====

#two
CaAc2Sc | PBE-GGA | relaxed

Calculated values
**Fermi-level density of states**: 1.29 states/eV/atom
**Spin magnetization**: 0.00 μB/cell

```
data_CaAc2Sc
_chemical_formula_sum 'Ca3 Ac6 Sc3'
_cell_length_a 3.8130
_cell_length_b 3.8130
_cell_length_c 36.6899
_cell_angle_alpha 90.00
_cell_angle_beta 90.00
_cell_angle_gamma 120.00
_symmetry_space_group_name_H-M 'R 3 m'
_symmetry_Int_Tables_number 160
_symmetry_space_group_name_Hall 'R 3 -2"'
loop_
_atom_site_label
_atom_site_type_symbol
_atom_site_fract_x
_atom_site_fract_y
_atom_site_fract_z
_atom_site_occupancy
Ca1 Ca 0.0000 0.0000 0.0000 1
Ac1 Ac 0.0000 0.0000 0.2415 1
Ac2 Ac 0.0000 0.0000 0.4236 1
Sc1 Sc 0.0000 0.0000 0.8325 1
```

=====

The data favor #one; the next most stable structure lies 46 meV/atom above it.

=====

#one
CaAcSc | PBE-GGA | relaxed

Calculated values
**Fermi-level density of states**: 1.21 states/eV/atom
**Spin magnetization**: 0.00 μB/cell

```
data_CaAcSc
_chemical_formula_sum 'Ca2 Ac2 Sc2'
_cell_length_a 4.0211
_cell_length_b 4.0211
_cell_length_c 13.4882
_cell_angle_alpha 90.00
_cell_angle_beta 90.00
_cell_angle_gamma 90.00
_symmetry_space_group_name_H-M 'I 4 m m'
_symmetry_Int_Tables_number 107
_symmetry_space_group_name_Hall 'I 4 -2'
loop_
_atom_site_label
_atom_site_type_symbol
_atom_site_fract_x
_atom_site_fract_y
_atom_site_fract_z
_atom_site_occupancy
Ca1 Ca 0.0000 0.0000 0.0000 1
Ac1 Ac 0.0000 0.0000 0.2989 1
Sc1 Sc 0.0000 0.0000 0.6472 1
```

=====

#two
CaAcSc | PBE-GGA | relaxed

Calculated values
**Fermi-level density of states**: 1.22 states/eV/atom
**Spin magnetization**: 0.00 μB/cell

```
data_CaAcSc
_chemical_formula_sum 'Ca2 Ac2 Sc2'
_cell_length_a 3.9702
_cell_length_b 3.9702
_cell_length_c 14.1519
_cell_angle_alpha 90.00
_cell_angle_beta 90.00
_cell_angle_gamma 90.00
_symmetry_space_group_name_H-M 'P 4/n m m'
_symmetry_Int_Tables_number 129
loop_
_symmetry_equiv_pos_as_xyz
'x,y,z'
'-x,-y,-z'
'-y+1/2,x,z'
'y+1/2,-x,-z'
'-x+1/2,-y+1/2,z'
'x+1/2,y+1/2,-z'
'y,-x+1/2,z'
'-y,x+1/2,-z'
'x+1/2,-y,-z'
'-x+1/2,y,z'
'-y,-x,-z'
'y,x,z'
'-x,y+1/2,-z'
'x,-y+1/2,z'
'y+1/2,x+1/2,-z'
'-y+1/2,-x+1/2,z'
loop_
_atom_site_label
_atom_site_type_symbol
_atom_site_fract_x
_atom_site_fract_y
_atom_site_fract_z
_atom_site_occupancy
Ca1 Ca 0.2500 0.2500 0.0955 1
Ac1 Ac 0.2500 0.2500 0.7056 1
Sc1 Sc 0.2500 0.2500 0.4486 1
```

=====

The data favor #two; the next most stable structure lies 76 meV/atom above it.